This record from Alexandria via LeMat-Bulk describes an optimized crystal structure of PmHo4Tm10. The functional is PBE.

POSCAR file:
```
PmHo4Tm10
1.0
-4.848 4.848 5.362
4.848 -4.848 5.362
4.848 4.848 -5.362
Pm Ho Tm
1 4 10
Cartesian
0.000 0.000 0.000
4.296 1.980 0.000
2.868 -0.551 5.362
1.980 5.399 0.000
0.551 2.868 5.362
2.143 -1.175 1.799
6.023 -2.705 3.562
4.848 0.000 2.681
7.552 1.175 1.799
1.175 2.143 1.799
3.673 2.705 3.562
-2.705 3.673 3.562
0.000 4.848 2.681
-1.175 7.552 1.799
2.705 6.023 3.562
```

## Properties
- crystal system = tetragonal
- density of states at the Fermi level (states/eV/cell) = 28.30
- energy of formation (meV/atom) = 490
- final energy (eV/atom) = -4.0288